Entry 1:
Density functional theory data (PBE) for a relaxed structure of AlIr2W.

Structure (POSCAR):
```
AlIr2W
1.0
2.841 0.000 0.000
0.000 4.668 0.000
0.000 0.000 4.513
Ir Al W
2 1 1
direct
0.000 0.000 0.000
0.500 0.500 0.000
0.000 0.500 0.500
0.500 0.000 0.500
```

Computed properties:
* E_form: -92.5 meV/atom
* calculated total energy: -8.697 eV/atom
* magnetization: 0.000 μB/f.u.
* SG: No. 47

Entry 2:
Density functional theory data (PBE) for a relaxed structure of AlIr2W.

Structure (POSCAR):
```
AlIr2W
1.0
2.862 0.000 0.000
0.000 2.862 0.000
0.000 0.000 7.056
Ir Al W
2 1 1
direct
0.000 0.000 0.982
0.000 0.000 0.518
0.500 0.500 0.750
0.500 0.500 0.250
```

Computed properties:
* E_form: -600.8 meV/atom
* calculated total energy: -9.205 eV/atom
* magnetization: 0.000 μB/f.u.
* SG: No. 123